Computed, not measured: Y3FeAs after structural relaxation at the GGA-PBE level of DFT. Values from VASP.

Geometry as Quantum ESPRESSO input:
```
&SYSTEM
  ibrav = 0, nat = 5, ntyp = 3
/
ATOMIC_SPECIES
Y 88.91 Y.upf
Fe 55.84 Fe.upf
As 74.92 As.upf
CELL_PARAMETERS angstrom
5.063 0.000 0.000
0.000 5.063 0.000
0.000 0.000 5.063
ATOMIC_POSITIONS crystal
Y 0.000 0.000 0.500
Y 0.000 0.500 0.000
Y 0.500 0.000 0.000
Fe 0.000 0.000 0.000
As 0.500 0.500 0.500
```

Values from the calculation:
- Space group: Pm-3m
- Density: 5.1 g cm⁻³
- Final energy: -33.1 eV per cell